Record 1
First-principles (SCAN) data for a PBEsol-optimized structure of Nb3CrBi, as listed in Alexandria via LeMat-Bulk.

Cell lengths 5.094, 5.094, 5.094 Å; angles 90.00, 90.00, 90.00 degrees
Positions (direct):
Nb: 0.000 0.000 0.500
Nb: 0.000 0.500 0.000
Nb: 0.500 0.000 0.000
Cr: 0.500 0.500 0.500
Bi: 0.000 0.000 0.000

Properties
The polymorph energy (0 for the lowest one) is 6.53 eV per formula unit.

Record 2
First-principles (SCAN) data for a PBEsol-optimized structure of ZrHgAsSe2, as listed in Alexandria via LeMat-Bulk.

Cell lengths 5.101, 5.101, 5.278 Å; angles 90.00, 90.00, 90.00 degrees
Positions (direct):
Zr: 0.000 0.000 0.000
Hg: 0.500 0.500 0.500
As: 0.000 0.000 0.500
Se: 0.000 0.500 0.000
Se: 0.500 0.000 0.000

Properties
The calculation puts the raw formation energy at -0.229 eV per atom.

Record 3
First-principles (SCAN) data for a PBEsol-optimized structure of TaAgAs, as listed in Alexandria via LeMat-Bulk.

Cell lengths 4.374, 4.374, 4.374 Å; angles 60.00, 60.00, 60.00 degrees
Positions (direct):
Ta: 0.000 0.000 0.000
Ag: 0.750 0.750 0.750
As: 0.500 0.500 0.500

Properties
The total energy is -1.40886 Ha/atom.

Record 4
First-principles (SCAN) data for a PBEsol-optimized structure of KLaS2O8, as listed in Alexandria via LeMat-Bulk.

Cell lengths 5.467, 6.997, 8.421 Å; angles 86.11, 87.94, 88.27 degrees
Positions (direct):
K: 0.246 0.349 0.183
K: 0.754 0.651 0.817
La: 0.321 0.181 0.697
La: 0.679 0.819 0.303
S: 0.222 0.693 0.545
S: 0.242 0.828 0.069
S: 0.758 0.172 0.931
S: 0.778 0.307 0.455
O: 0.017 0.716 0.104
O: 0.028 0.225 0.483
O: 0.212 0.548 0.680
O: 0.230 0.925 0.908
O: 0.272 0.964 0.195
O: 0.328 0.611 0.399
O: 0.388 0.852 0.578
O: 0.462 0.695 0.075
O: 0.538 0.305 0.925
O: 0.612 0.148 0.422
O: 0.672 0.389 0.601
O: 0.728 0.036 0.805
O: 0.770 0.075 0.092
O: 0.788 0.452 0.320
O: 0.972 0.775 0.517
O: 0.983 0.284 0.896

Properties
The calculation puts the raw formation energy at -2.392 eV per atom.

Record 5
First-principles (SCAN) data for a PBEsol-optimized structure of WSNCl2, as listed in Alexandria via LeMat-Bulk.

Cell lengths 4.116, 4.116, 4.361 Å; angles 90.00, 90.00, 90.00 degrees
Positions (direct):
W: 0.000 0.000 0.000
S: 0.500 0.500 0.000
N: 0.500 0.500 0.500
Cl: 0.000 0.500 0.500
Cl: 0.500 0.000 0.500

Properties
The calculation puts the raw formation energy at 1.759 eV per atom. The polymorph energy (0 for the lowest one) is 5.38 eV per formula unit.

Record 6
First-principles (SCAN) data for a PBEsol-optimized structure of TaPbSe, as listed in Alexandria via LeMat-Bulk.

Cell lengths 3.314, 3.314, 7.022 Å; angles 90.00, 90.00, 120.00 degrees
Positions (direct):
Ta: 0.000 0.000 0.000
Pb: 0.667 0.333 0.654
Se: 0.333 0.667 0.238

Properties
The calculation puts the raw formation energy at -0.206 eV per atom.

Record 7
First-principles (SCAN) data for a PBEsol-optimized structure of TiMoCl3, as listed in Alexandria via LeMat-Bulk.

Cell lengths 4.824, 4.824, 4.824 Å; angles 90.00, 90.00, 90.00 degrees
Positions (direct):
Ti: 0.000 0.000 0.000
Mo: 0.500 0.500 0.500
Cl: 0.000 0.000 0.500
Cl: 0.000 0.500 0.000
Cl: 0.500 0.000 0.000

Properties
The calculation puts the raw formation energy at -0.401 eV per atom.

Record 8
First-principles (SCAN) data for a PBEsol-optimized structure of BaY2HfMn, as listed in Alexandria via LeMat-Bulk.

Cell lengths 5.484, 5.484, 5.286 Å; angles 90.00, 90.00, 90.00 degrees
Positions (direct):
Ba: 0.000 0.000 0.000
Y: 0.000 0.500 0.000
Y: 0.500 0.000 0.000
Hf: 0.000 0.000 0.500
Mn: 0.500 0.500 0.500

Properties
The total energy is -1.23893 Ha/atom.

Record 9
First-principles (SCAN) data for a PBEsol-optimized structure of HoSn3, as listed in Alexandria via LeMat-Bulk.

Cell lengths 4.326, 11.069, 11.069 Å; angles 22.72, 90.00, 90.00 degrees
Positions (direct):
Ho: 0.000 0.000 0.000
Ho: 0.500 0.273 0.273
Sn: 0.000 0.384 0.384
Sn: 0.000 0.613 0.613
Sn: 0.000 0.748 0.748
Sn: 0.500 0.124 0.124
Sn: 0.500 0.506 0.506
Sn: 0.500 0.884 0.884

Properties
The total energy is -1.45444 Ha/atom.

Record 10
First-principles (SCAN) data for a PBEsol-optimized structure of MgNbAlH2, as listed in Alexandria via LeMat-Bulk.

Cell lengths 3.822, 3.822, 5.319 Å; angles 90.00, 90.00, 90.00 degrees
Positions (direct):
Mg: 0.000 0.000 0.000
Nb: 0.500 0.500 0.000
Al: 0.500 0.500 0.500
H: 0.000 0.500 0.500
H: 0.500 0.000 0.500

Properties
The total energy is -0.35179 Ha/atom.

Record 11
First-principles (SCAN) data for a PBEsol-optimized structure of MnTc2Br2, as listed in Alexandria via LeMat-Bulk.

Cell lengths 6.073, 6.073, 6.073 Å; angles 139.65, 139.65, 58.38 degrees
Positions (direct):
Mn: 0.000 0.000 0.000
Tc: 0.250 0.750 0.500
Tc: 0.750 0.250 0.500
Br: 0.367 0.367 0.000
Br: 0.633 0.633 0.000

Properties
The calculation puts the raw formation energy at 1.012 eV per atom.

Record 12
First-principles (SCAN) data for a PBEsol-optimized structure of TaNiPt3, as listed in Alexandria via LeMat-Bulk.

Cell lengths 4.768, 4.768, 4.768 Å; angles 90.00, 90.00, 90.00 degrees
Positions (direct):
Ta: 0.000 0.000 0.000
Ni: 0.500 0.500 0.500
Pt: 0.000 0.000 0.500
Pt: 0.000 0.500 0.000
Pt: 0.500 0.000 0.000

Properties
The total energy is -2.10838 Ha/atom.